Record 1
The following is a DFT calculation (PBE) of PrSmTlHg after structural relaxation.

Unit cell a=7.7414 b=7.7414 c=7.7414 alpha=90.00 beta=90.00 gamma=90.00
Space group F-43m (No. 216)
One atom of each set of equivalent atoms:
1 Pr 0.0000 0.0000 0.0000 x4
2 Sm 0.0000 0.0000 0.5000 x4
3 Tl 0.2500 0.2500 0.7500 x4
4 Hg 0.2500 0.2500 0.2500 x4

Computed properties:
crystal system	cubic
ρ	9968	kg/m³
formation enthalpy at 0 K	-0.4282	eV per atom

Record 2
The following is a DFT calculation (PBE) of LaFePb3 after structural relaxation.

Unit cell a=5.1646 b=5.1646 c=5.1646 alpha=90.00 beta=90.00 gamma=90.00
Space group Pm-3m (No. 221)
One atom of each set of equivalent atoms:
1 La 0.0000 0.0000 0.0000 x1
2 Fe 0.5000 0.5000 0.5000 x1
3 Pb 0.0000 0.5000 0.5000 x3

Computed properties:
crystal system	cubic
ρ	9841	kg/m³
formation enthalpy at 0 K	0.1511	eV per atom

Record 3
The following is a DFT calculation (PBE) of Nd2Cu5NiPd2 after structural relaxation.

Unit cell a=9.5401 b=9.5401 c=3.7605 alpha=90.00 beta=90.00 gamma=90.00
Space group P4/mbm (No. 127)
One atom of each set of equivalent atoms:
1 Nd 0.1788 0.3212 0.0000 x4
2 Cu 0.0000 0.5000 0.5000 x2
3 Cu 0.0484 0.8170 0.5000 x8
4 Ni 0.0000 0.0000 0.0000 x2
5 Pd 0.1231 0.6231 0.0000 x4

Computed properties:
crystal system	tetragonal
ρ	8517	kg/m³
formation enthalpy at 0 K	-0.1872	eV per atom

Record 4
The following is a DFT calculation (PBE) of BPd3Au after structural relaxation.

Unit cell a=3.1014 b=5.7288 c=8.2087 alpha=90.00 beta=90.00 gamma=90.00
Space group Amm2 (No. 38)
One atom of each set of equivalent atoms:
1 B 0.0000 0.0000 0.0000 x2
2 Pd 0.0000 0.0000 0.7514 x2
3 Pd 0.5000 0.2503 0.0108 x4
4 Au 0.0000 0.0000 0.2721 x2

Computed properties:
crystal system	orthorhombic
energy above the lowest structure with this stoichiometry	0	meV per atom
ρ	12001	kg/m³
formation enthalpy at 0 K	-0.1542	eV per atom

Record 5
The following is a DFT calculation (PBE) of LiYFe2 after structural relaxation.

Unit cell a=6.4830 b=6.4830 c=6.4830 alpha=90.00 beta=90.00 gamma=90.00
Space group Fm-3m (No. 225)
One atom of each set of equivalent atoms:
1 Li 0.0000 0.0000 0.0000 x4
2 Y 0.0000 0.0000 0.5000 x4
3 Fe 0.2500 0.2500 0.2500 x8

Computed properties:
crystal system	cubic
energy above the lowest structure with this stoichiometry	329	meV per atom
ρ	5059	kg/m³
formation enthalpy at 0 K	0.4753	eV per atom

Record 6
The following is a DFT calculation (PBE) of PrSmMoN4 after structural relaxation.

Unit cell a=3.9269 b=3.9269 c=12.7622 alpha=90.00 beta=90.00 gamma=90.00
Space group I4mm (No. 107)
One atom of each set of equivalent atoms:
1 Pr 0.0000 0.0000 0.0000 x2
2 Sm 0.0000 0.0000 0.7081 x2
3 Mo 0.0000 0.0000 0.3449 x2
4 N 0.0000 0.0000 0.1926 x2
5 N 0.0000 0.0000 0.5309 x2
6 N 0.0000 0.5000 0.3577 x4

Computed properties:
crystal system	tetragonal
uncorrected formation energy	-932	meV per atom
ρ	7480	kg/m³

| no. | N(E_F) (states/eV/f.u.) | total DFT energy (no corrections) (eV for the cell shown) |
| --- | --- | --- |
| 1 | 3.80 | -55.52 |
| 2 | 11.04 | -23.76 |
| 3 | 4.32 | -96.11 |
| 4 | 1.42 | -52.61 |
| 5 | 5.36 | -93.61 |
| 6 | 1.30 | -120.31 |